Record 1
A plane-wave DFT calculation with GGA-PBE was carried out for crystalline AcPtPb at its relaxed geometry.

As for the energy above the lowest structure with this stoichiometry: 150 meV per atom. The value obtained for the calculated volume is 33.35 A^3/atom. The value obtained for the calculated density is 10.4 g/cm³. The value obtained for the total magnetization is 0.00 μB per cell.

It has space group F-43m (No. 216), with a = 7.3693 Å, b = 7.3693 Å, c = 7.3693 Å, α = 90.00°, β = 90.00° and γ = 90.00°. Symmetry generates all atoms from Ac at (0.0000, 0.0000, 0.0000), Pt at (0.2500, 0.2500, 0.2500) and Pb at (0.2500, 0.2500, 0.7500).

Record 2
A plane-wave DFT calculation with GGA-PBE was carried out for crystalline Ac2Pt2Pb at its relaxed geometry.

The value obtained for the calculated volume is 27.68 A^3/atom. The energy comes out at -5.801 eV/atom. The value obtained for the calculated density is 12.6 g/cm³. The value obtained for the total magnetization is 0.01 μB per cell.

It has space group P4/mbm (No. 127), with a = 8.2772 Å, b = 8.2772 Å, c = 4.0398 Å, α = 90.00°, β = 90.00° and γ = 90.00°. Symmetry generates all atoms from Ac at (0.1732, 0.3268, 0.0000), Pt at (0.1258, 0.6258, 0.5000) and Pb at (0.0000, 0.0000, 0.5000).

Record 3
A plane-wave DFT calculation with GGA-PBE was carried out for crystalline AcPtPb at its relaxed geometry.

As for the energy above the lowest structure with this stoichiometry: 0 meV per atom. The value obtained for the calculated volume is 31.01 A^3/atom. The value obtained for the calculated density is 11.2 g/cm³. The value obtained for the total magnetization is 0.01 μB per cell.

It has space group F-43m (No. 216), with a = 7.1927 Å, b = 7.1927 Å, c = 7.1927 Å, α = 90.00°, β = 90.00° and γ = 90.00°. Symmetry generates all atoms from Ac at (0.0000, 0.0000, 0.0000), Pt at (0.0000, 0.0000, 0.5000) and Pb at (0.2500, 0.2500, 0.2500).

Record 4
A plane-wave DFT calculation with GGA-PBE was carried out for crystalline AcPuPb at its relaxed geometry.

As for the energy above the lowest structure with this stoichiometry: 345 meV per atom. The value obtained for the calculated volume is 39.27 A^3/atom. The value obtained for the calculated density is 9.6 g/cm³. The value obtained for the total magnetization is 27.66 μB per cell.

It has space group F-43m (No. 216), with a = 7.7819 Å, b = 7.7819 Å, c = 7.7819 Å, α = 90.00°, β = 90.00° and γ = 90.00°. Symmetry generates all atoms from Ac at (0.0000, 0.0000, 0.0000), Pu at (0.2500, 0.2500, 0.2500) and Pb at (0.2500, 0.2500, 0.7500).

Record 5
A plane-wave DFT calculation with GGA-PBE was carried out for crystalline AcPuPb at its relaxed geometry.

As for the energy above the lowest structure with this stoichiometry: 0 meV per atom. The value obtained for the calculated volume is 39.72 A^3/atom. The value obtained for the calculated density is 9.5 g/cm³. The value obtained for the total magnetization is 27.95 μB per cell.

It has space group F-43m (No. 216), with a = 7.8113 Å, b = 7.8113 Å, c = 7.8113 Å, α = 90.00°, β = 90.00° and γ = 90.00°. Symmetry generates all atoms from Ac at (0.0000, 0.0000, 0.0000), Pu at (0.0000, 0.0000, 0.5000) and Pb at (0.2500, 0.2500, 0.2500).

Record 6
A plane-wave DFT calculation with GGA-PBE was carried out for crystalline AcRePb at its relaxed geometry.

As for the energy above the lowest structure with this stoichiometry: 0 meV per atom. The value obtained for the calculated volume is 30.35 A^3/atom. The value obtained for the calculated density is 11.3 g/cm³. The value obtained for the total magnetization is 0.13 μB per cell.

It has space group F-43m (No. 216), with a = 7.1415 Å, b = 7.1415 Å, c = 7.1415 Å, α = 90.00°, β = 90.00° and γ = 90.00°. Symmetry generates all atoms from Ac at (0.0000, 0.0000, 0.0000), Re at (0.0000, 0.0000, 0.5000) and Pb at (0.2500, 0.2500, 0.2500).

Record 7
A plane-wave DFT calculation with GGA-PBE was carried out for crystalline AcRePb at its relaxed geometry.

As for the energy above the lowest structure with this stoichiometry: 437 meV per atom. The value obtained for the calculated volume is 33.49 A^3/atom. The value obtained for the calculated density is 10.3 g/cm³. The value obtained for the total magnetization is 7.40 μB per cell.

It has space group F-43m (No. 216), with a = 7.3796 Å, b = 7.3796 Å, c = 7.3796 Å, α = 90.00°, β = 90.00° and γ = 90.00°. Symmetry generates all atoms from Ac at (0.0000, 0.0000, 0.0000), Re at (0.2500, 0.2500, 0.2500) and Pb at (0.2500, 0.2500, 0.7500).

Record 8
A plane-wave DFT calculation with GGA-PBE was carried out for crystalline AcSmPb at its relaxed geometry.

As for the energy above the lowest structure with this stoichiometry: 0 meV per atom. The value obtained for the calculated volume is 39.05 A^3/atom. The value obtained for the calculated density is 8.3 g/cm³. The value obtained for the total magnetization is 0.26 μB per cell.

It has space group F-43m (No. 216), with a = 7.7672 Å, b = 7.7672 Å, c = 7.7672 Å, α = 90.00°, β = 90.00° and γ = 90.00°. Symmetry generates all atoms from Ac at (0.0000, 0.0000, 0.0000), Sm at (0.0000, 0.0000, 0.5000) and Pb at (0.2500, 0.2500, 0.2500).

Record 9
A plane-wave DFT calculation with GGA-PBE was carried out for crystalline AcTaPb at its relaxed geometry.

As for the energy above the lowest structure with this stoichiometry: 505 meV per atom. The value obtained for the calculated volume is 36.53 A^3/atom. The value obtained for the calculated density is 9.3 g/cm³. The value obtained for the total magnetization is 12.60 μB per cell.

It has space group F-43m (No. 216), with a = 7.5962 Å, b = 7.5962 Å, c = 7.5962 Å, α = 90.00°, β = 90.00° and γ = 90.00°. Symmetry generates all atoms from Ac at (0.0000, 0.0000, 0.0000), Ta at (0.2500, 0.2500, 0.2500) and Pb at (0.2500, 0.2500, 0.7500).

Record 10
A plane-wave DFT calculation with GGA-PBE was carried out for crystalline AcTaPb at its relaxed geometry.

As for the energy above the lowest structure with this stoichiometry: 0 meV per atom. The value obtained for the calculated volume is 32.37 A^3/atom. The value obtained for the calculated density is 10.5 g/cm³. The value obtained for the total magnetization is 12.72 μB per cell.

It has space group F-43m (No. 216), with a = 7.2963 Å, b = 7.2963 Å, c = 7.2963 Å, α = 90.00°, β = 90.00° and γ = 90.00°. Symmetry generates all atoms from Ac at (0.0000, 0.0000, 0.0000), Ta at (0.2500, 0.2500, 0.7500) and Pb at (0.0000, 0.0000, 0.5000).

Record 11
A plane-wave DFT calculation with GGA-PBE was carried out for crystalline AcTbPb at its relaxed geometry.

As for the energy above the lowest structure with this stoichiometry: 599 meV per atom. The value obtained for the calculated volume is 41.08 A^3/atom. The value obtained for the calculated density is 8.0 g/cm³. The value obtained for the total magnetization is 0.68 μB per cell.

It has space group F-43m (No. 216), with a = 7.8997 Å, b = 7.8997 Å, c = 7.8997 Å, α = 90.00°, β = 90.00° and γ = 90.00°. Symmetry generates all atoms from Ac at (0.0000, 0.0000, 0.0000), Tb at (0.2500, 0.2500, 0.2500) and Pb at (0.2500, 0.2500, 0.7500).

Record 12
A plane-wave DFT calculation with GGA-PBE was carried out for crystalline AcTbPb at its relaxed geometry.

As for the energy above the lowest structure with this stoichiometry: 0 meV per atom. The value obtained for the calculated volume is 38.25 A^3/atom. The value obtained for the calculated density is 8.6 g/cm³. The value obtained for the total magnetization is 0.19 μB per cell.

It has space group F-43m (No. 216), with a = 7.7139 Å, b = 7.7139 Å, c = 7.7139 Å, α = 90.00°, β = 90.00° and γ = 90.00°. Symmetry generates all atoms from Ac at (0.0000, 0.0000, 0.0000), Tb at (0.0000, 0.0000, 0.5000) and Pb at (0.2500, 0.2500, 0.2500).